# 1
Compound: ScTaO2
Source: the Alexandria database
Functional: GGA-PBE
Structure: relaxed

The structure in extended XYZ format:
```
16
Lattice="4.917 0.000 0.000 0.000 4.917 0.000 0.000 0.000 9.370" Properties=species:S:1:pos:R:3 pbc="T T T"
Sc 0.000 0.000 0.000
Sc 0.000 2.458 2.342
Sc 2.458 0.000 7.027
Sc 2.458 2.458 4.685
Ta 0.000 0.000 4.685
Ta 0.000 2.458 7.027
Ta 2.458 0.000 2.342
Ta 2.458 2.458 0.000
O 1.215 1.229 1.171
O 1.229 3.674 3.514
O 1.229 3.701 8.198
O 1.243 1.229 5.856
O 3.674 3.687 5.856
O 3.687 1.215 8.198
O 3.687 1.243 3.514
O 3.701 3.687 1.171
```

Properties
Crystal system = tetragonal
N(E_F) = 1.149 states/eV/atom
Raw formation energy = -1.89 eV per atom
Space-group type = I-42d (122)
Energy above the most stable polymorph in this dataset = 497 meV per atom

# 2
Compound: ScTa2O
Source: the Alexandria database
Functional: GGA-PBE
Structure: relaxed

The structure in extended XYZ format:
```
16
Lattice="7.430 0.000 0.000 0.000 7.430 0.000 0.000 0.000 4.638" Properties=species:S:1:pos:R:3 pbc="T T T"
Sc 0.000 0.000 0.000
Sc 0.000 3.715 1.160
Sc 3.715 0.000 3.479
Sc 3.715 3.715 2.319
Ta 0.998 1.858 2.899
Ta 1.858 4.713 4.058
Ta 1.858 6.433 1.739
Ta 2.717 1.858 0.580
Ta 4.713 5.573 0.580
Ta 5.573 0.998 1.739
Ta 5.573 2.717 4.058
Ta 6.433 5.573 2.899
O 0.000 0.000 2.319
O 0.000 3.715 3.479
O 3.715 0.000 1.160
O 3.715 3.715 0.000
```

Properties
Crystal system = tetragonal
N(E_F) = 0.850 states/eV/atom
Raw formation energy = -0.68 eV per atom
Space-group type = I-42d (122)

# 3
Compound: ScTaO2
Source: the Alexandria database
Functional: GGA-PBE
Structure: relaxed

The structure in extended XYZ format:
```
16
Lattice="5.547 0.000 0.000 0.000 5.547 0.000 0.000 0.000 5.547" Properties=species:S:1:pos:R:3 pbc="T T T"
Sc 0.000 0.000 0.000
Sc 0.000 2.774 2.774
Sc 2.774 0.000 2.774
Sc 2.774 2.774 0.000
Ta 0.000 0.000 2.774
Ta 0.000 2.774 0.000
Ta 2.774 0.000 0.000
Ta 2.774 2.774 2.774
O 1.387 1.387 1.387
O 1.387 1.387 4.160
O 1.387 4.160 1.387
O 1.387 4.160 4.160
O 4.160 1.387 1.387
O 4.160 1.387 4.160
O 4.160 4.160 1.387
O 4.160 4.160 4.160
```

Properties
Crystal system = cubic
N(E_F) = 0.093 states/eV/atom
Raw formation energy = -1.49 eV per atom
Space-group type = Fm-3m (225)
Energy above the most stable polymorph in this dataset = 890 meV per atom

# 4
Compound: Sc2TaO6
Source: the Alexandria database
Functional: GGA-PBE
Structure: relaxed

The structure in extended XYZ format:
```
18
Lattice="4.844 0.000 0.000 0.000 4.844 0.000 0.000 0.000 9.546" Properties=species:S:1:pos:R:3 pbc="T T T"
Sc 0.000 0.000 1.601
Sc 0.000 0.000 7.944
Sc 2.422 2.422 3.171
Sc 2.422 2.422 6.374
Ta 0.000 0.000 4.773
Ta 2.422 2.422 0.000
O 0.934 0.934 3.275
O 0.934 0.934 6.270
O 1.000 1.000 0.000
O 1.422 3.422 4.773
O 1.488 3.356 1.498
O 1.488 3.356 8.048
O 3.356 1.488 1.498
O 3.356 1.488 8.048
O 3.422 1.422 4.773
O 3.844 3.844 0.000
O 3.909 3.909 3.275
O 3.909 3.909 6.270
```

Properties
Crystal system = tetragonal
N(E_F) = 0.577 states/eV/atom
Raw formation energy = -2.99 eV per atom
Space-group type = P4_2/mnm (136)

# 5
Compound: TbScTaO6
Source: the Alexandria database
Functional: GGA-PBE
Structure: relaxed

The structure in extended XYZ format:
```
9
Lattice="5.522 0.000 0.000 -2.761 4.782 0.000 0.000 0.000 4.500" Properties=species:S:1:pos:R:3 pbc="T T T"
Tb 0.000 0.000 0.000
Sc 2.761 1.594 2.250
Ta 0.000 3.188 0.000
O -0.940 1.776 1.076
O -1.693 3.080 3.423
O 0.940 1.776 3.423
O -0.753 4.709 1.076
O 1.693 3.080 1.076
O 0.753 4.709 3.423
```

Properties
Crystal system = trigonal
N(E_F) = 0.532 states/eV/atom
Raw formation energy = -2.89 eV per atom
Space-group type = P312 (149)

# 6
Compound: Sc2TaTeO
Source: the Alexandria database
Functional: GGA-PBE
Structure: relaxed

The structure in extended XYZ format:
```
5
Lattice="5.491 0.000 0.000 0.000 5.491 0.000 0.000 0.000 3.958" Properties=species:S:1:pos:R:3 pbc="T T T"
Sc 0.000 2.746 0.000
Sc 2.746 0.000 0.000
Ta 0.000 0.000 1.979
Te 2.746 2.746 0.000
O 2.746 2.746 1.979
```

Properties
Crystal system = tetragonal
N(E_F) = 1.339 states/eV/atom
Raw formation energy = 0.51 eV per atom
Space-group type = P4/mmm (123)